## RbTiSbAu2 (PBE-GGA)

Data for a geometry-optimized RbTiSbAu2 structure.

The structure belongs to space group P4/mmm (No. 123); the cell edges are 5.5033, 5.5033 and 5.3265 Å and the angles 90.00°, 90.00° and 90.00°. The asymmetric unit holds Rb at (0.0000, 0.0000, 0.0000), Ti at (0.5000, 0.5000, 0.0000), Sb at (0.5000, 0.5000, 0.5000) and Au at (0.0000, 0.5000, 0.5000).

As for the uncorrected formation energy: 0.291 eV per atom. The calculation puts the volume at 32.26 Å³ per atom. The value obtained for the energy is -18.09 eV for the cell shown.

## HfZnP2S (PBE-GGA)

Data for a geometry-optimized HfZnP2S structure.

The structure belongs to space group P4/mmm (No. 123); the cell edges are 5.0380, 5.0380 and 4.8507 Å and the angles 90.00°, 90.00° and 90.00°. The asymmetric unit holds Hf at (0.0000, 0.0000, 0.0000), Zn at (0.5000, 0.5000, 0.5000), P at (0.0000, 0.5000, 0.0000) and S at (0.0000, 0.0000, 0.5000).

As for the uncorrected formation energy: 0.207 eV per atom. The calculation puts the volume at 24.62 Å³ per atom. The value obtained for the energy is -25.14 eV for the cell shown. The energy relative to the lowest polymorph listed for this composition is 0 meV/atom.

## Dy2NbGaO7 (PBE-GGA)

Data for a geometry-optimized Dy2NbGaO7 structure.

The structure belongs to space group Imma (No. 74); the cell edges are 7.1674, 7.3856 and 10.3119 Å and the angles 90.00°, 90.00° and 90.00°. The asymmetric unit holds Dy at (0.0000, 0.0000, 0.0000), Dy at (0.2500, 0.2500, 0.2500), Nb at (0.0000, 0.0000, 0.5000), Ga at (0.2500, 0.2500, 0.7500), O at (0.0000, 0.2500, 0.1252), O at (0.0000, 0.2500, 0.4176), O at (0.0000, 0.2500, 0.8344) and O at (0.2071, 0.0400, 0.6256).

As for the uncorrected formation energy: -2.872 eV per atom. The calculation puts the volume at 12.41 Å³ per atom. The value obtained for the energy is -354.40 eV for the cell shown.

## Ti2ZnNi3 (PBE-GGA)

Data for a geometry-optimized Ti2ZnNi3 structure.

The structure belongs to space group P-3m1 (No. 164); the cell edges are 4.1960, 4.1960 and 10.2913 Å and the angles 90.00°, 90.00° and 120.00°. The asymmetric unit holds Ti at (0.0000, 0.0000, 0.0000), Ti at (0.0000, 0.0000, 0.5000), Ti at (0.3333, 0.6667, 0.1798), Zn at (0.3333, 0.6667, 0.6679), Ni at (0.0000, 0.0000, 0.2468), Ni at (0.3333, 0.6667, 0.4227) and Ni at (0.3333, 0.6667, 0.9304).

For the energy relative to the elements, the calculation gives -0.39 eV/atom. The calculation puts the volume at 13.08 Å³ per atom. The value obtained for the energy is -73.44 eV for the cell shown. The energy relative to the lowest polymorph listed for this composition is 0 meV/atom.